First-principles (GGA+U) data for VCrNO2 after structural relaxation, as listed in the Alexandria database.

Unit cell a=3.708 b=3.708 c=3.957 alpha=90.00 beta=90.00 gamma=90.00
Each line ends with the local moment (μB).
Fractional coordinates of all 5 atoms:
O  0.000  0.500  0.000  -0.03
O  0.500  0.000  0.000  -0.03
V  0.000  0.000  0.000  0.11
N  0.000  0.000  0.500  -0.18
Cr  0.500  0.500  0.500  3.88

Values from the calculation:
V in Å³/atom: 10.88
Fermi-level density of states in states/eV/f.u.: 1.44
Final energy in eV/atom: -7.341